# 1
This record from the Alexandria database describes MgCo3Tc after structural relaxation. The functional is PBE-GGA.

- total magnetization (μB per formula unit) = 5.75
- formation enthalpy at 0 K (eV per atom) = 1.615
- calculated volume (Å³ per atom) = 14.8
- relative energy among the computed polymorphs (eV per atom) = 0.504

a b c (Å): 4.199 4.199 4.199
angles (deg): 90.00 90.00 90.00
Space group Pm-3m (No. 221)
One atom of each set of equivalent atoms:
Mg 0.000 0.000 0.000 [1 per cell]
Co 0.000 0.000 0.500 [3 per cell]
Tc 0.500 0.500 0.500 [1 per cell]

# 2
This record from the Alexandria database describes HgGe2Se after structural relaxation. The functional is PBE-GGA.

- total magnetization (μB per formula unit) = 0.00
- calculated volume (Å³ per atom) = 21.8
- ΔE_f (raw) (eV per atom) = 0.308
- relative energy among the computed polymorphs (eV per atom) = 0.138

a b c (Å): 7.038 7.038 7.038
angles (deg): 90.00 90.00 90.00
Space group Fm-3m (No. 225)
One atom of each set of equivalent atoms:
Hg 0.000 0.000 0.000 [4 per cell]
Ge 0.250 0.250 0.250 [8 per cell]
Se 0.000 0.000 0.500 [4 per cell]

# 3
This record from the Alexandria database describes LiY2O after structural relaxation. The functional is PBE-GGA.

- total magnetization (μB per formula unit) = 0.00
- calculated volume (Å³ per atom) = 23.3
- ΔE_f (raw) (eV per atom) = -1.150

a b c (Å): 3.4603 3.4603 26.9202
angles (deg): 90.00 90.00 120.00
Space group R-3m (No. 166, hexagonal axes)
One atom of each set of equivalent atoms:
Li 0.0000 0.0000 0.0000 [3 per cell]
Y 0.0000 0.0000 0.1167 [6 per cell]
O 0.0000 0.0000 0.5000 [3 per cell]

# 4
This record from the Alexandria database describes CdTcSn2 after structural relaxation. The functional is PBE-GGA.

- total magnetization (μB per formula unit) = 1.38
- formation enthalpy at 0 K (eV per atom) = 0.523
- calculated volume (Å³ per atom) = 23.0

a b c (Å): 4.397 4.397 19.052
angles (deg): 90.00 90.00 90.00
Space group I-42d (No. 122)
One atom of each set of equivalent atoms:
Cd 0.000 0.000 0.000 [4 per cell]
Tc 0.000 0.000 0.500 [4 per cell]
Sn 0.229 0.250 0.625 [8 per cell]

# 5
This record from the Alexandria database describes NdMg2ZnAu4 after structural relaxation. The functional is PBE-GGA.

- total magnetization (μB per formula unit) = 0.00
- formation enthalpy at 0 K (eV per atom) = -0.569
- calculated volume (Å³ per atom) = 20.1

a b c (Å): 4.6021 4.6021 26.3484
angles (deg): 90.00 90.00 120.00
Space group R-3m (No. 166, hexagonal axes)
One atom of each set of equivalent atoms:
Nd 0.0000 0.0000 0.0000 [3 per cell]
Mg 0.0000 0.0000 0.2383 [6 per cell]
Zn 0.0000 0.0000 0.5000 [3 per cell]
Au 0.0000 0.0000 0.1289 [6 per cell]
Au 0.0000 0.0000 0.3967 [6 per cell]

# 6
This record from the Alexandria database describes LiGaNi after structural relaxation. The functional is PBE-GGA.

- total magnetization (μB per formula unit) = 0.00
- formation enthalpy at 0 K (eV per atom) = -0.282
- calculated volume (Å³ per atom) = 12.4

a b c (Å): 4.0769 4.0769 2.5818
angles (deg): 90.00 90.00 120.00
Space group P3m1 (No. 156)
One atom of each set of equivalent atoms:
Li 0.0000 0.0000 0.0000 [1 per cell]
Ga 0.3333 0.6667 0.6659 [1 per cell]
Ni 0.6667 0.3333 0.3035 [1 per cell]

# 7
This record from the Alexandria database describes Pr3Dy2HoSe6 after structural relaxation. The functional is PBE-GGA.

- total magnetization (μB per formula unit) = 0.00
- calculated volume (Å³ per atom) = 25.6
- ΔE_f (raw) (eV per atom) = -1.801

a b c (Å): 7.119 12.392 7.361
angles (deg): 90.00 108.94 90.00
Space group C2/m (No. 12)
One atom of each set of equivalent atoms:
Pr 0.000 0.000 0.000 [2 per cell]
Pr 0.000 0.332 0.000 [4 per cell]
Dy 0.000 0.167 0.500 [4 per cell]
Ho 0.000 0.500 0.500 [2 per cell]
Se 0.243 0.334 0.731 [8 per cell]
Se 0.245 0.000 0.732 [4 per cell]

# 8
This record from the Alexandria database describes Eu3Sc after structural relaxation. The functional is PBE-GGA.

- total magnetization (μB per formula unit) = 21.64
- formation enthalpy at 0 K (eV per atom) = 0.171
- calculated volume (Å³ per atom) = 35.8
- relative energy among the computed polymorphs (eV per atom) = 0.017

a b c (Å): 8.306 8.306 8.306
angles (deg): 90.00 90.00 90.00
Space group Fm-3m (No. 225)
One atom of each set of equivalent atoms:
Eu 0.000 0.000 0.000 [4 per cell]
Eu 0.250 0.250 0.250 [8 per cell]
Sc 0.000 0.000 0.500 [4 per cell]

# 9
This record from the Alexandria database describes SrZrSeO2 after structural relaxation. The functional is PBE-GGA.

- total magnetization (μB per formula unit) = 1.54
- calculated volume (Å³ per atom) = 28.9
- ΔE_f (raw) (eV per atom) = -0.203
- relative energy among the computed polymorphs (eV per atom) = 2.525

a b c (Å): 4.158 4.158 8.370
angles (deg): 90.00 90.00 90.00
Space group P4/mmm (No. 123)
One atom of each set of equivalent atoms:
Sr 0.000 0.000 0.000 [1 per cell]
Zr 0.000 0.000 0.500 [1 per cell]
Se 0.500 0.500 0.500 [1 per cell]
O 0.000 0.500 0.000 [2 per cell]

# 10
This record from the Alexandria database describes Cs3Rb8Ag2 after structural relaxation. The functional is PBE-GGA.

- total magnetization (μB per formula unit) = 0.00
- formation enthalpy at 0 K (eV per atom) = 0.047
- calculated volume (Å³ per atom) = 82.0

a b c (Å): 13.572 5.628 14.036
angles (deg): 90.00 95.83 90.00
Space group P2/m (No. 10)
One atom of each set of equivalent atoms:
Cs 0.000 0.000 0.000 [1 per cell]
Cs 0.314 0.500 0.917 [2 per cell]
Rb 0.089 0.000 0.640 [2 per cell]
Rb 0.144 0.500 0.256 [2 per cell]
Rb 0.334 0.500 0.538 [2 per cell]
Rb 0.419 0.000 0.259 [2 per cell]
Ag 0.201 0.000 0.412 [2 per cell]

# 11
This record from the Alexandria database describes TbPm6Pr2Dy3 after structural relaxation. The functional is PBE-GGA.

- total magnetization (μB per formula unit) = 0.00
- formation enthalpy at 0 K (eV per atom) = 0.015
- calculated volume (Å³ per atom) = 33.7

a b c (Å): 6.287 10.889 12.007
angles (deg): 90.00 100.05 90.00
Space group C2/m (No. 12)
One atom of each set of equivalent atoms:
Tb 0.000 0.000 0.000 [2 per cell]
Pm 0.248 0.000 0.746 [4 per cell]
Pm 0.249 0.334 0.747 [8 per cell]
Pr 0.000 0.333 0.000 [4 per cell]
Dy 0.000 0.166 0.500 [4 per cell]
Dy 0.000 0.500 0.500 [2 per cell]

# 12
This record from the Alexandria database describes ThNp2Fe9 after structural relaxation. The functional is PBE-GGA.

- total magnetization (μB per formula unit) = 10.03
- formation enthalpy at 0 K (eV per atom) = -0.022
- calculated volume (Å³ per atom) = 14.8

a b c (Å): 4.9488 4.9488 25.0702
angles (deg): 90.00 90.00 120.00
Space group R-3m (No. 166, hexagonal axes)
One atom of each set of equivalent atoms:
Th 0.0000 0.0000 0.0000 [3 per cell]
Np 0.0000 0.0000 0.1443 [6 per cell]
Fe 0.0000 0.0000 0.3327 [6 per cell]
Fe 0.0000 0.0000 0.5000 [3 per cell]
Fe 0.0013 0.5006 0.0828 [18 per cell]

# 13
This record from the Alexandria database describes OsSe2NCl after structural relaxation. The functional is PBE-GGA.

- total magnetization (μB per formula unit) = 0.00
- calculated volume (Å³ per atom) = 19.3
- ΔE_f (raw) (eV per atom) = 0.543
- relative energy among the computed polymorphs (eV per atom) = 0.000

a b c (Å): 5.119 5.119 3.692
angles (deg): 90.00 90.00 90.00
Space group P4/mmm (No. 123)
One atom of each set of equivalent atoms:
Os 0.000 0.000 0.000 [1 per cell]
Se 0.000 0.500 0.000 [2 per cell]
N 0.000 0.000 0.500 [1 per cell]
Cl 0.500 0.500 0.500 [1 per cell]

# 14
This record from the Alexandria database describes Sm6BiSe4 after structural relaxation. The functional is PBE-GGA.

- total magnetization (μB per formula unit) = 0.00
- calculated volume (Å³ per atom) = 27.8
- ΔE_f (raw) (eV per atom) = -1.488

a b c (Å): 4.206 13.609 21.375
angles (deg): 90.00 90.00 90.00
Space group Cmcm (No. 63)
One atom of each set of equivalent atoms:
Sm 0.000 0.000 0.000 [4 per cell]
Sm 0.000 0.152 0.250 [4 per cell]
Sm 0.000 0.273 0.591 [8 per cell]
Sm 0.000 0.450 0.162 [8 per cell]
Bi 0.000 0.171 0.750 [4 per cell]
Se 0.000 0.087 0.123 [8 per cell]
Se 0.000 0.358 0.037 [8 per cell]

# 15
This record from the Alexandria database describes Rh2WAu after structural relaxation. The functional is PBE-GGA.

- total magnetization (μB per formula unit) = 0.00
- formation enthalpy at 0 K (eV per atom) = -0.031
- calculated volume (Å³ per atom) = 15.3
- relative energy among the computed polymorphs (eV per atom) = 0.067

a b c (Å): 4.003 4.003 7.638
angles (deg): 90.00 90.00 90.00
Space group I4/mmm (No. 139)
One atom of each set of equivalent atoms:
Rh 0.000 0.500 0.250 [4 per cell]
W 0.000 0.000 0.000 [2 per cell]
Au 0.000 0.000 0.500 [2 per cell]

# 16
This record from the Alexandria database describes SrZrCl2 after structural relaxation. The functional is PBE-GGA.

- total magnetization (μB per formula unit) = 0.00
- calculated volume (Å³ per atom) = 23.2
- ΔE_f (raw) (eV per atom) = -0.984
- relative energy among the computed polymorphs (eV per atom) = 0.141

a b c (Å): 8.716 3.480 6.292
angles (deg): 90.00 103.47 90.00
Space group C2/m (No. 12)
One atom of each set of equivalent atoms:
Sr 0.000 0.000 0.000 [2 per cell]
Zr 0.000 0.500 0.500 [2 per cell]
Cl 0.240 0.000 0.708 [4 per cell]

# 17
This record from the Alexandria database describes Y2Ho3Er3 after structural relaxation. The functional is PBE-GGA.

- total magnetization (μB per formula unit) = 0.00
- formation enthalpy at 0 K (eV per atom) = 0.006
- calculated volume (Å³ per atom) = 31.1
- relative energy among the computed polymorphs (eV per atom) = 0.000

a b c (Å): 23.687 3.544 6.140
angles (deg): 90.00 105.02 90.00
Space group C2/m (No. 12)
One atom of each set of equivalent atoms:
Y 0.250 0.000 0.250 [4 per cell]
Ho 0.000 0.000 0.000 [2 per cell]
Ho 0.124 0.000 0.791 [4 per cell]
Er 0.000 0.500 0.500 [2 per cell]
Er 0.124 0.500 0.291 [4 per cell]

# 18
This record from the Alexandria database describes Pr6Ga2Ag after structural relaxation. The functional is PBE-GGA.

- total magnetization (μB per formula unit) = 0.00
- formation enthalpy at 0 K (eV per atom) = -0.285
- calculated volume (Å³ per atom) = 30.3
- relative energy among the computed polymorphs (eV per atom) = 0.000

a b c (Å): 9.993 10.225 10.670
angles (deg): 90.00 90.00 90.00
Space group Immm (No. 71)
One atom of each set of equivalent atoms:
Pr 0.000 0.208 0.174 [8 per cell]
Pr 0.176 0.230 0.500 [8 per cell]
Pr 0.197 0.500 0.248 [8 per cell]
Ga 0.000 0.000 0.379 [4 per cell]
Ga 0.140 0.000 0.000 [4 per cell]
Ag 0.000 0.500 0.000 [2 per cell]
Ag 0.000 0.500 0.500 [2 per cell]

# 19
This record from the Alexandria database describes LiAl3Au6 after structural relaxation. The functional is PBE-GGA.

- total magnetization (μB per formula unit) = 0.00
- formation enthalpy at 0 K (eV per atom) = -0.333
- calculated volume (Å³ per atom) = 18.5

a b c (Å): 9.308 11.579 6.852
angles (deg): 90.00 90.00 90.00
Space group Cmc2_1 (No. 36)
One atom of each set of equivalent atoms:
Li 0.000 0.197 0.000 [4 per cell]
Al 0.000 0.429 0.293 [4 per cell]
Al 0.162 0.114 0.392 [8 per cell]
Au 0.000 0.022 0.691 [4 per cell]
Au 0.000 0.267 0.589 [4 per cell]
Au 0.190 0.459 0.583 [8 per cell]
Au 0.223 0.302 0.220 [8 per cell]

# 20
This record from the Alexandria database describes Sm3SbO3 after structural relaxation. The functional is PBE-GGA.

- total magnetization (μB per formula unit) = 0.00
- calculated volume (Å³ per atom) = 21.8
- ΔE_f (raw) (eV per atom) = -2.670
- relative energy among the computed polymorphs (eV per atom) = 0.100

a b c (Å): 6.8462 6.8462 22.5805
angles (deg): 90.00 90.00 120.00
Space group R-3 (No. 148, hexagonal axes)
One atom of each set of equivalent atoms:
Sm 0.0031 0.6494 0.3984 [18 per cell]
Sb 0.0000 0.0000 0.1666 [6 per cell]
O 0.0068 0.6856 0.6269 [18 per cell]